No. 1
## La2TaHg (GGA-PBE)

Data for crystalline La2TaHg at its relaxed geometry.

Cell: 3.322 3.325 9.755 Å, 90.00 90.11 90.00°
Space group P2/m (No. 10)
One atom of each set of equivalent atoms:
La (0.000, 0.000, 0.239)
Ta (0.500, 0.500, 0.000)
Hg (0.500, 0.500, 0.500)

calculated density	10.161	g cm⁻³
DFT formation energy	10.6	kJ/mol of atoms
DOS(E_F)	1.054	states/eV per atom

***

No. 2
## Zr2TlCl8 (GGA-PBE)

Data for crystalline Zr2TlCl8 at its relaxed geometry.

Cell: 9.3496 9.3496 5.1011 Å, 90.00 90.00 120.00°
Space group P-3 (No. 147)
One atom of each set of equivalent atoms:
Zr (0.3333, 0.6667, 0.2580)
Tl (0.0000, 0.0000, 0.0000)
Cl (0.1830, 0.3701, 0.2664)
Cl (0.3333, 0.6667, 0.7610)

calculated density	2.883	g cm⁻³
DFT total energy	-51.00	eV/cell
DOS(E_F)	0.450	states/eV per atom

***

No. 3
## MnCr2Se (GGA-PBE)

Data for crystalline MnCr2Se at its relaxed geometry.

Cell: 3.0685 3.0685 22.1050 Å, 90.00 90.00 120.00°
Space group R3m (No. 160, hexagonal axes)
One atom of each set of equivalent atoms:
Mn (0.0000, 0.0000, 0.0000)
Cr (0.0000, 0.0000, 0.2514)
Cr (0.0000, 0.0000, 0.5065)
Se (0.0000, 0.0000, 0.7543)

calculated density	6.575	g cm⁻³
DFT total energy	-91.85	eV/cell
DOS(E_F)	0.555	states/eV per atom